A geometry-optimized CsGa3W structure, computed with PBE.

Output
**M_tot**: 0.000 μB per formula unit
**Energy of formation from the pure elements**: 222 meV per atom
**Polymorph energy (0 for the lowest one)**: 0.000 eV/atom

```
data_CsGa3W
_cell_length_a 5.116
_cell_length_b 5.116
_cell_length_c 5.116
_cell_angle_alpha 90.00
_cell_angle_beta 90.00
_cell_angle_gamma 90.00
_space_group_name_H-M_alt 'P 1'
_space_group_IT_number 1
loop_
_space_group_symop_operation_xyz
'x,y,z'
loop_
_atom_site_label
_atom_site_type_symbol
_atom_site_fract_x
_atom_site_fract_y
_atom_site_fract_z
_atom_site_occupancy
Cs1 Cs 0.500 0.500 0.500 1
Ga1 Ga 0.000 0.500 0.000 1
Ga2 Ga 0.000 0.000 0.500 1
Ga3 Ga 0.500 0.000 0.000 1
W1 W 0.000 0.000 0.000 1
```